Model 1:
Below is NiPdSeBr2 after structural relaxation, with properties calculated at the PBE-GGA level.

Output
DOS(E_F): 1.408 states/eV/atom

Cell: 4.986 4.986 4.760 Å, 90.00 90.00 90.00°
Element x y z (fractional)
Ni1 0.000 0.000 0.000
Pd1 0.500 0.500 0.500
Se1 0.500 0.500 0.000
Br1 0.000 0.500 0.500
Br2 0.500 0.000 0.500



Model 2:
Below is NiPdSeBr2 after structural relaxation, with properties calculated at the PBE-GGA level.

Output
DOS(E_F): 1.772 states/eV/atom

Cell: 4.907 4.907 4.671 Å, 90.00 90.00 90.00°
Element x y z (fractional)
Ni1 0.000 0.000 0.000
Pd1 0.500 0.500 0.500
Se1 0.000 0.000 0.500
Br1 0.000 0.500 0.000
Br2 0.500 0.000 0.000



Most favorable structure: model 2. The second most favorable one is 242 meV per atom above it.



Model 1:
Below is Pr3NiBr after structural relaxation, with properties calculated at the PBE-GGA level.

Output
DOS(E_F): 1.197 states/eV/atom

Cell: 3.825 9.946 8.163 Å, 90.00 90.00 90.00°
Element x y z (fractional)
Pr1 0.250 0.074 0.172
Pr2 0.250 0.250 0.763
Pr3 0.250 0.426 0.172
Pr4 0.750 0.574 0.828
Pr5 0.750 0.750 0.237
Pr6 0.750 0.926 0.828
Ni1 0.250 0.750 0.997
Ni2 0.750 0.250 0.003
Br1 0.250 0.750 0.556
Br2 0.750 0.250 0.444



Model 2:
Below is Pr3NiBr after structural relaxation, with properties calculated at the PBE-GGA level.

Output
DOS(E_F): 1.048 states/eV/atom

Cell: 9.070 3.833 9.103 Å, 90.00 113.22 90.00°
Element x y z (fractional)
Pr1 0.010 0.250 0.184
Pr2 0.248 0.750 0.551
Pr3 0.369 0.750 0.200
Pr4 0.631 0.250 0.800
Pr5 0.752 0.250 0.449
Pr6 0.990 0.750 0.816
Ni1 0.398 0.250 0.434
Ni2 0.602 0.750 0.566
Br1 0.308 0.250 0.872
Br2 0.692 0.750 0.128



Most favorable structure: model 2. The second most favorable one is 80 meV per atom above it.



Model 1:
Below is NiPtBr after structural relaxation, with properties calculated at the PBE-GGA level.

Output
DOS(E_F): 1.422 states/eV/atom

Cell: 5.808 5.808 5.808 Å, 149.33 149.33 43.93°
Element x y z (fractional)
Ni1 0.000 0.000 0.000
Pt1 0.636 0.636 0.000
Br1 0.345 0.345 0.000



Model 2:
Below is NiPtBr after structural relaxation, with properties calculated at the PBE-GGA level.

Output
DOS(E_F): 1.538 states/eV/atom

Cell: 6.878 6.591 3.025 Å, 82.37 71.78 25.84°
Element x y z (fractional)
Ni1 0.000 0.000 0.000
Pt1 0.356 0.356 0.644
Br1 0.635 0.635 0.365



Most favorable structure: model 2. The second most favorable one is 27 meV per atom above it.